# AlFePO2 PBE+U optimized geometry
data_AlFePO2
_chemical_formula_sum 'Al1 Fe1 P1 O2'
_symmetry_space_group_name_H-M 'P 1'
_symmetry_Int_Tables_number 1
_cell_length_a 3.5818
_cell_length_b 3.5818
_cell_length_c 5.3562
_cell_angle_alpha 90.00
_cell_angle_beta 90.00
_cell_angle_gamma 90.00
loop_
_symmetry_equiv_pos_as_xyz
'x,y,z'
loop_
_atom_site_label
_atom_site_fract_x
_atom_site_fract_y
_atom_site_fract_z
_atom_site_occupancy
P1 0.0000 0.0000 0.5000 1
Fe1 0.5000 0.5000 0.5000 1
O1 0.0000 0.5000 0.0000 1
O2 0.5000 0.0000 0.0000 1
Al1 0.0000 0.0000 0.0000 1
# V, Å³/cell: 68.7
# Distance to the lowest polymorph of the same formula, meV per atom: 0